No. 1
The following is a DFT calculation (PBE) of crystalline Hf4PdN2 at its relaxed geometry.

Structure (POSCAR):
```
Hf4PdN2
1.0
-1.676 -2.601 -1.146
3.409 -1.966 4.227
-8.495 2.038 7.798
N Pd Hf
4 2 8
direct
0.867 0.733 0.560
0.133 0.267 0.440
0.867 0.733 0.940
0.133 0.267 0.060
0.388 0.776 0.250
0.612 0.224 0.750
0.500 0.000 0.000
0.237 0.474 0.607
0.500 0.000 0.500
0.763 0.526 0.107
0.922 0.844 0.750
0.078 0.156 0.250
0.237 0.474 0.893
0.763 0.526 0.393
```

## Properties
- E_form (uncorrected) (eV/atom) = -1.2535
- symmetry = No. 63


No. 2
The following is a DFT calculation (PBE) of crystalline Sr2CoMo at its relaxed geometry.

Structure (POSCAR):
```
Sr2CoMo
1.0
3.850 0.000 0.000
0.000 3.848 0.000
0.000 0.000 7.057
Mo Sr Co
1 2 1
direct
0.500 0.500 0.750
0.000 0.000 0.013
0.000 0.000 0.487
0.500 0.500 0.250
```

## Properties
- DFT formation energy (eV/atom) = 1.08
- symmetry = No. 123


No. 3
The following is a DFT calculation (PBE) of crystalline TmHfPdPt at its relaxed geometry.

Structure (POSCAR):
```
TmHfPdPt
1.0
4.784 0.000 0.000
2.392 4.143 0.000
2.392 1.381 3.906
Pt Tm Hf Pd
1 1 1 1
direct
0.750 0.750 0.750
0.000 0.000 0.000
0.500 0.500 0.500
0.250 0.250 0.250
```

## Properties
- DFT formation energy (eV/atom) = -0.94
- symmetry = No. 216


No. 4
The following is a DFT calculation (PBE) of crystalline V2Pd at its relaxed geometry.

Structure (POSCAR):
```
V2Pd
1.0
4.910 0.000 0.000
2.455 4.252 0.000
2.455 1.417 4.009
Pd V
2 4
direct
0.250 0.250 0.250
0.000 0.000 0.000
0.625 0.625 0.625
0.625 0.625 0.125
0.625 0.125 0.625
0.125 0.625 0.625
```

## Properties
- DFT formation energy (eV/atom) = -0.07
- symmetry = No. 227


No. 5
The following is a DFT calculation (PBE) of crystalline LiCaRh2 at its relaxed geometry.

Structure (POSCAR):
```
LiCaRh2
1.0
4.317 0.000 0.000
0.000 2.903 -0.023
0.000 1.086 5.239
Rh Ca Li
2 1 1
direct
0.000 0.924 0.966
0.000 0.576 0.534
0.500 0.250 0.250
0.500 0.750 0.750
```

## Properties
- DFT formation energy (eV/atom) = -0.14
- symmetry = No. 10


No. 6
The following is a DFT calculation (PBE) of crystalline Pr2MgCu3Sn4 at its relaxed geometry.

Structure (POSCAR):
```
Pr2MgCu3Sn4
1.0
-4.087 1.655 -0.488
-0.507 0.047 4.407
4.262 10.637 0.378
Sn Pr Cu Mg
4 2 3 1
direct
0.500 0.500 0.000
0.000 0.000 0.000
0.000 0.500 0.354
0.500 0.000 0.646
0.500 0.000 0.243
0.000 0.500 0.757
0.500 0.000 0.867
0.000 0.000 0.500
0.000 0.500 0.133
0.500 0.500 0.500
```

## Properties
- DFT formation energy (eV/atom) = -0.43
- symmetry = No. 115


These records have uncorrected energy values of -10.06 -4.24 -7.35 -7.88 -4.80 -4.38 eV/atom, in the order they appear.
These records have DOS at the Fermi energy values of 0.501 1.350 0.842 1.186 0.857 0.262 states/eV per atom, in the order they appear.